Entry 1:
Material: Er4GeSe2
Method: DFT, PBE-GGA
State: optimized geometry

Values from the calculation:
- raw formation energy (eV/atom) = -1.230
- Fermi-level density of states (states/eV/atom) = 0.6290
- symmetry = Cmcm (63)
- total energy (Ry per atom) = -0.404

a = 6.7534 Å, b = 6.7534 Å, c = 13.5047 Å
α = 90.00°, β = 90.00°, γ = 145.49°
Last column: nearest neighbours and their distance in Å.
Positions (direct):
Er (0.0000, 0.0000, 0.0000)  4 Se 2.82
Er (0.0000, 0.0000, 0.5000)  4 Se 2.82
Er (0.2809, 0.7191, 0.6283)  3 Se 2.77-2.85, 2 Ge 2.98
Er (0.2809, 0.7191, 0.8717)  3 Se 2.77-2.85, 2 Ge 2.98
Er (0.4472, 0.5528, 0.2500)  2 Se 2.77, 2 Ge 2.86
Er (0.5528, 0.4472, 0.7500)  2 Se 2.77, 2 Ge 2.86
Er (0.7191, 0.2809, 0.1283)  3 Se 2.77-2.85, 2 Ge 2.98
Er (0.7191, 0.2809, 0.3717)  3 Se 2.77-2.85, 2 Ge 2.98
Ge (0.1053, 0.8947, 0.2500)  6 Er 2.86-2.98
Ge (0.8947, 0.1053, 0.7500)  6 Er 2.86-2.98
Se (0.3603, 0.6397, 0.0625)  6 Er 2.77-2.85
Se (0.3603, 0.6397, 0.4375)  6 Er 2.77-2.85
Se (0.6397, 0.3603, 0.5625)  6 Er 2.77-2.85
Se (0.6397, 0.3603, 0.9375)  6 Er 2.77-2.85


Entry 2:
Material: TiFeNiP
Method: DFT, PBE-GGA
State: optimized geometry

Values from the calculation:
- Fermi-level density of states (states/eV/atom) = 0.7254
- symmetry = F222 (22)
- total energy (Ry per atom) = -0.540
- polymorph energy (0 for the lowest one) (eV per formula unit) = 0.62
- formation enthalpy at 0 K (eV per atom) = -0.4532

a = 5.0256 Å, b = 5.0649 Å, c = 7.4021 Å
α = 90.00°, β = 90.00°, γ = 90.00°
Last column: nearest neighbours and their distance in Å.
Positions (direct):
Ti (0.0000, 0.0000, 0.0000)  4 Fe 2.51-2.53, 4 Ni 2.57, 4 P 2.57
Ti (0.0000, 0.5000, 0.5000)  4 Fe 2.51-2.53, 4 Ni 2.57, 4 P 2.57
Ti (0.5000, 0.0000, 0.5000)  4 Fe 2.51-2.53, 4 Ni 2.57, 4 P 2.57
Ti (0.5000, 0.5000, 0.0000)  4 Fe 2.51-2.53, 4 Ni 2.57, 4 P 2.57
Fe (0.0000, 0.0000, 0.5000)  4 Ti 2.51-2.53, 4 P 2.57, 4 Ni 2.57
Fe (0.0000, 0.5000, 0.0000)  4 Ti 2.51-2.53, 4 P 2.57, 4 Ni 2.57
Fe (0.5000, 0.0000, 0.0000)  4 Ti 2.51-2.53, 4 P 2.57, 4 Ni 2.57
Fe (0.5000, 0.5000, 0.5000)  4 Ti 2.51-2.53, 4 Ni 2.57, 4 P 2.57
Ni (0.2500, 0.2500, 0.7500)  4 P 2.51-2.53, 4 Fe 2.57, 4 Ti 2.57
Ni (0.2500, 0.7500, 0.2500)  4 P 2.51-2.53, 4 Fe 2.57, 4 Ti 2.57
Ni (0.7500, 0.2500, 0.2500)  4 P 2.51-2.53, 4 Ti 2.57, 4 Fe 2.57
Ni (0.7500, 0.7500, 0.7500)  4 P 2.51-2.53, 4 Fe 2.57, 4 Ti 2.57
P (0.2500, 0.2500, 0.2500)  4 Ni 2.51-2.53, 4 Fe 2.57, 4 Ti 2.57
P (0.2500, 0.7500, 0.7500)  4 Ni 2.51-2.53, 4 Fe 2.57, 4 Ti 2.57
P (0.7500, 0.2500, 0.7500)  4 Ni 2.51-2.53, 4 Fe 2.57, 4 Ti 2.57
P (0.7500, 0.7500, 0.2500)  4 Ni 2.51-2.53, 4 Fe 2.57, 4 Ti 2.57


Entry 3:
Material: LaYSe
Method: DFT, PBE-GGA
State: optimized geometry

Values from the calculation:
- raw formation energy (eV/atom) = -1.136
- Fermi-level density of states (states/eV/atom) = 0.2358
- symmetry = P3m1 (156)
- total energy (Ry per atom) = -0.448
- polymorph energy (0 for the lowest one) (eV per formula unit) = 0.02

a = 3.9820 Å, b = 3.9820 Å, c = 6.7960 Å
α = 90.00°, β = 90.00°, γ = 120.00°
Last column: nearest neighbours and their distance in Å.
Positions (direct):
La (0.0000, 0.0000, 0.0000)  3 Se 3.02
Y (0.3333, 0.6667, 0.5445)  3 Se 2.88
Se (0.6667, 0.3333, 0.2893)  3 Y 2.88, 3 La 3.02